Material: NbTlAsSe2
Method: DFT, meta-GGA SCAN
State: single point on PBEsol structure

Calculated values
V	135.93	Å³/cell
uncorrected formation energy	1.152	eV/atom

abc: 5.1787 5.1787 5.0685
angles: 90.00 90.00 90.00
Last column: nearest neighbours and their distance in Å.
Element x y z (fractional)
Nb1 0.0000 0.0000 0.0000  8 Se 3.62, 4 As 3.66
Tl1 0.5000 0.5000 0.5000  2 As 2.53, 4 Se 2.59
As1 0.5000 0.5000 0.0000  2 Tl 2.53
Se1 0.0000 0.5000 0.5000  2 Tl 2.59
Se2 0.5000 0.0000 0.5000  2 Tl 2.59